Compound: TiBeNb2H
Source: Alexandria
Functional: GGA-PBE
Structure: relaxed

Summary:
Its crystal system is tetragonal. Its calculated volume is 65.7 Å³ per cell. As for the total energy: -7.070 eV/atom. As for the space group: P4/mmm (123).

Cell: 4.1311 4.1311 3.8519 Å, 90.00 90.00 90.00°
With the nearest neighbours (Å) after each atom.
Element x y z (fractional)
Ti 0.0000 0.0000 0.0000  2 H 1.93
Be 0.5000 0.5000 0.0000  8 Nb 2.82, 4 Ti 2.92
Nb 0.0000 0.5000 0.5000  2 H 2.07
Nb 0.5000 0.0000 0.5000  2 H 2.07
H 0.0000 0.0000 0.5000  2 Ti 1.93, 4 Nb 2.07